Here is an optimized crystal structure of Tm4Mg2C from Alexandria. Energies are from PBE.

abc: 4.870 4.870 15.623
angles: 90.00 90.00 90.00
Fractional coordinates of all 14 atoms:
Tm  0.000  0.000  0.152
Tm  0.000  0.000  0.848
Tm  0.000  0.500  0.000
Tm  0.000  0.500  0.500
Tm  0.500  0.000  0.000
Tm  0.500  0.000  0.500
Tm  0.500  0.500  0.348
Tm  0.500  0.500  0.652
Mg  0.000  0.000  0.362
Mg  0.000  0.000  0.638
Mg  0.500  0.500  0.138
Mg  0.500  0.500  0.862
C  0.000  0.000  0.000
C  0.500  0.500  0.500

Computed properties:
Density (g/cm³): 6.6
Total energy (eV per atom): -4.31
Crystal system: tetragonal
DOS(E_F) (states/eV/atom): 1.462